YZn: optimized geometry, PBE. Values from VASP.

```
&SYSTEM
  ibrav = 0, nat = 6, ntyp = 2
/
ATOMIC_SPECIES
Y 88.91 Y.upf
Zn 65.41 Zn.upf
CELL_PARAMETERS angstrom
-2.158 5.319 3.100
2.158 -5.319 3.100
2.158 5.319 -3.100
ATOMIC_POSITIONS angstrom
Y 0.000 0.000 0.000
Y 2.158 -1.965 1.829
Y 2.158 1.965 1.829
Zn 0.000 0.000 3.173
Zn 0.000 4.009 1.567
Zn 0.000 6.629 1.567
```

Calculated values
total magnetic moment: 0.00 μB per cell

YZn: optimized geometry, PBE. Values from VASP.

```
&SYSTEM
  ibrav = 0, nat = 2, ntyp = 2
/
ATOMIC_SPECIES
Y 88.91 Y.upf
Zn 65.41 Zn.upf
CELL_PARAMETERS angstrom
0.000 2.961 2.961
2.961 0.000 2.961
2.961 2.961 0.000
ATOMIC_POSITIONS angstrom
Y 0.000 0.000 0.000
Zn 2.961 2.961 2.961
```

Calculated values
total magnetic moment: 0.00 μB per cell

Y2Zn: optimized geometry, PBE. Values from VASP.

```
&SYSTEM
  ibrav = 0, nat = 6, ntyp = 2
/
ATOMIC_SPECIES
Y 88.91 Y.upf
Zn 65.41 Zn.upf
CELL_PARAMETERS angstrom
3.622 0.000 0.000
0.000 3.622 0.000
0.000 0.000 12.149
ATOMIC_POSITIONS angstrom
Y 0.906 0.906 1.242
Y 0.906 0.906 8.474
Y 2.717 2.717 3.675
Y 2.717 2.717 10.907
Zn 0.906 0.906 5.364
Zn 2.717 2.717 6.785
```

Calculated values
total magnetic moment: 0.06 μB per cell

Y4Zn5: optimized geometry, PBE. Values from VASP.

```
&SYSTEM
  ibrav = 0, nat = 9, ntyp = 2
/
ATOMIC_SPECIES
Y 88.91 Y.upf
Zn 65.41 Zn.upf
CELL_PARAMETERS angstrom
-4.643 4.643 2.366
4.643 -4.643 2.366
4.643 4.643 -2.366
ATOMIC_POSITIONS angstrom
Y 2.853 0.000 0.000
Y 6.434 0.000 0.000
Y 0.000 2.853 0.000
Y 0.000 6.434 0.000
Zn 0.000 0.000 0.000
Zn 3.226 3.226 0.000
Zn 1.417 -1.417 2.366
Zn -1.417 1.417 2.366
Zn 1.417 1.417 2.366
```

Calculated values
total magnetic moment: 0.00 μB per cell
offset from the most stable computed form: 0.0416 eV/atom

Y6Zn5: optimized geometry, PBE. Values from VASP.

```
&SYSTEM
  ibrav = 0, nat = 11, ntyp = 2
/
ATOMIC_SPECIES
Y 88.91 Y.upf
Zn 65.41 Zn.upf
CELL_PARAMETERS angstrom
-2.510 3.580 7.501
2.510 -3.580 7.501
2.510 3.580 -7.501
ATOMIC_POSITIONS angstrom
Y 2.510 -1.806 5.043
Y 2.510 1.783 0.000
Y 0.000 1.773 2.458
Y 2.510 1.806 5.043
Y 0.000 1.797 7.501
Y 0.000 5.386 2.458
Zn 2.510 0.000 2.578
Zn 0.000 0.000 4.969
Zn 0.000 3.580 0.000
Zn 0.000 0.000 10.033
Zn 0.000 3.580 4.923
```

Calculated values
total magnetic moment: 0.00 μB per cell

Y2Zn: optimized geometry, PBE. Values from VASP.

```
&SYSTEM
  ibrav = 0, nat = 12, ntyp = 2
/
ATOMIC_SPECIES
Y 88.91 Y.upf
Zn 65.41 Zn.upf
CELL_PARAMETERS angstrom
-2.257 2.257 15.442
2.257 -2.257 15.442
2.257 2.257 -15.442
ATOMIC_POSITIONS angstrom
Y 2.257 -1.129 8.868
Y 2.257 1.129 -4.168
Y 2.257 -1.129 14.295
Y 0.000 1.129 3.553
Y 2.257 1.129 11.890
Y 0.000 3.386 1.147
Y 0.000 1.129 19.611
Y 0.000 3.386 6.574
Zn 2.257 1.129 1.480
Zn 2.257 1.129 6.241
Zn 0.000 1.129 9.201
Zn 0.000 1.129 13.963
```

Calculated values
total magnetic moment: 0.00 μB per cell

YZn: optimized geometry, PBE. Values from VASP.

```
&SYSTEM
  ibrav = 0, nat = 24, ntyp = 2
/
ATOMIC_SPECIES
Y 88.91 Y.upf
Zn 65.41 Zn.upf
CELL_PARAMETERS angstrom
10.293 0.000 0.000
0.000 8.803 0.000
0.000 0.000 6.242
ATOMIC_POSITIONS angstrom
Y 1.139 2.201 0.000
Y 1.139 2.201 3.121
Y 2.007 5.564 1.560
Y 2.007 7.640 4.681
Y 3.857 0.354 1.560
Y 3.857 4.047 4.681
Y 6.436 4.756 1.560
Y 6.436 8.449 4.681
Y 8.286 1.163 1.560
Y 8.286 3.239 4.681
Y 9.154 6.602 0.000
Y 9.154 6.602 3.121
Zn 0.821 4.812 4.681
Zn 0.821 8.393 1.560
Zn 3.833 1.088 4.681
Zn 3.833 3.314 1.560
Zn 4.482 6.602 0.000
Zn 4.482 6.602 3.121
Zn 5.811 2.201 0.000
Zn 5.811 2.201 3.121
Zn 6.460 5.489 4.681
Zn 6.460 7.715 1.560
Zn 9.471 0.410 4.681
Zn 9.471 3.991 1.560
```

Calculated values
total magnetic moment: 0.00 μB per cell

YZn3: optimized geometry, PBE. Values from VASP.

```
&SYSTEM
  ibrav = 0, nat = 4, ntyp = 2
/
ATOMIC_SPECIES
Y 88.91 Y.upf
Zn 65.41 Zn.upf
CELL_PARAMETERS angstrom
4.274 0.000 0.000
0.000 4.274 0.000
0.000 0.000 4.264
ATOMIC_POSITIONS angstrom
Y 0.000 0.000 0.000
Zn 0.000 2.137 2.132
Zn 2.137 0.000 2.132
Zn 2.137 2.137 0.000
```

Calculated values
total magnetic moment: 0.00 μB per cell

Y4Zn: optimized geometry, PBE. Values from VASP.

```
&SYSTEM
  ibrav = 0, nat = 5, ntyp = 2
/
ATOMIC_SPECIES
Y 88.91 Y.upf
Zn 65.41 Zn.upf
CELL_PARAMETERS angstrom
5.483 0.000 0.000
0.000 5.483 0.000
0.000 0.000 5.483
ATOMIC_POSITIONS angstrom
Y 0.000 0.000 0.000
Y 0.000 2.741 2.741
Y 2.741 0.000 2.741
Y 2.741 2.741 0.000
Zn 2.741 2.741 2.741
```

Calculated values
total magnetic moment: 0.00 μB per cell
offset from the most stable computed form: 0.3063 eV/atom

Y5Zn2: optimized geometry, PBE. Values from VASP.

```
&SYSTEM
  ibrav = 0, nat = 14, ntyp = 2
/
ATOMIC_SPECIES
Y 88.91 Y.upf
Zn 65.41 Zn.upf
CELL_PARAMETERS angstrom
8.146 -3.496 0.000
8.146 3.496 0.000
-0.204 0.000 6.747
ATOMIC_POSITIONS angstrom
Y 7.993 3.444 5.060
Y 3.621 0.230 1.799
Y 3.519 -0.230 5.172
Y 6.635 0.943 0.046
Y 9.555 0.943 3.328
Y 6.533 -0.943 3.419
Y 9.453 -0.943 6.701
Y 12.569 0.230 1.575
Y 12.466 -0.230 4.948
Y 8.095 -3.444 1.687
Zn 6.215 1.847 3.225
Zn 9.974 1.847 0.149
Zn 6.113 -1.847 6.598
Zn 9.872 -1.847 3.522
```

Calculated values
total magnetic moment: 0.00 μB per cell

YZn: optimized geometry, PBE. Values from VASP.

```
&SYSTEM
  ibrav = 0, nat = 8, ntyp = 2
/
ATOMIC_SPECIES
Y 88.91 Y.upf
Zn 65.41 Zn.upf
CELL_PARAMETERS angstrom
0.000 4.601 5.712
3.735 0.000 5.712
3.735 4.601 0.000
ATOMIC_POSITIONS angstrom
Y 2.801 0.650 4.284
Y 4.668 2.950 7.140
Y 2.801 6.251 4.284
Y 4.668 8.551 7.140
Zn 4.060 3.450 4.284
Zn 5.928 5.751 7.140
Zn 1.542 3.450 4.284
Zn 3.409 5.751 7.140
```

Calculated values
total magnetic moment: 0.00 μB per cell

Y3Zn: optimized geometry, PBE. Values from VASP.

```
&SYSTEM
  ibrav = 0, nat = 4, ntyp = 2
/
ATOMIC_SPECIES
Y 88.91 Y.upf
Zn 65.41 Zn.upf
CELL_PARAMETERS angstrom
0.000 3.791 3.791
3.791 0.000 3.791
3.791 3.791 0.000
ATOMIC_POSITIONS angstrom
Y 0.000 0.000 0.000
Y 1.896 1.896 1.896
Y 5.687 5.687 5.687
Zn 3.791 3.791 3.791
```

Calculated values
total magnetic moment: 0.17 μB per cell

YZn3: optimized geometry, PBE. Values from VASP.

```
&SYSTEM
  ibrav = 0, nat = 8, ntyp = 2
/
ATOMIC_SPECIES
Y 88.91 Y.upf
Zn 65.41 Zn.upf
CELL_PARAMETERS angstrom
-3.024 4.241 3.043
3.024 -4.241 3.043
3.024 4.241 -3.043
ATOMIC_POSITIONS angstrom
Y 0.000 2.120 0.174
Y 3.024 2.120 2.870
Zn 3.024 2.120 -0.143
Zn 1.512 4.135 -1.522
Zn 1.512 -0.106 1.522
Zn -1.512 4.347 1.522
Zn 1.512 4.347 1.522
Zn 0.000 2.120 3.186
```

Calculated values
total magnetic moment: 0.00 μB per cell

Y2Zn: optimized geometry, PBE. Values from VASP.

```
&SYSTEM
  ibrav = 0, nat = 3, ntyp = 2
/
ATOMIC_SPECIES
Y 88.91 Y.upf
Zn 65.41 Zn.upf
CELL_PARAMETERS angstrom
5.042 0.000 0.000
0.000 5.042 0.000
0.000 0.000 3.371
ATOMIC_POSITIONS angstrom
Y 0.000 2.521 0.000
Y 2.521 0.000 0.000
Zn 0.000 0.000 1.686
```

Calculated values
total magnetic moment: 0.10 μB per cell

Y3Zn: optimized geometry, PBE. Values from VASP.

```
&SYSTEM
  ibrav = 0, nat = 8, ntyp = 2
/
ATOMIC_SPECIES
Y 88.91 Y.upf
Zn 65.41 Zn.upf
CELL_PARAMETERS angstrom
6.878 0.000 0.000
-3.439 5.957 0.000
0.000 0.000 5.296
ATOMIC_POSITIONS angstrom
Y 0.000 2.078 1.324
Y -1.640 4.918 1.324
Y 1.800 1.039 3.972
Y 1.640 4.918 1.324
Y 5.079 1.039 3.972
Y 3.439 3.879 3.972
Zn 0.000 3.971 3.972
Zn 3.439 1.986 1.324
```

Calculated values
total magnetic moment: 0.00 μB per cell

YZn3: optimized geometry, PBE. Values from VASP.

```
&SYSTEM
  ibrav = 0, nat = 8, ntyp = 2
/
ATOMIC_SPECIES
Y 88.91 Y.upf
Zn 65.41 Zn.upf
CELL_PARAMETERS angstrom
5.435 0.000 0.000
0.000 5.435 0.000
0.000 0.000 5.435
ATOMIC_POSITIONS angstrom
Y 0.000 0.000 0.000
Y 2.718 2.718 2.718
Zn 0.000 1.359 2.718
Zn 0.000 4.076 2.718
Zn 1.359 2.718 0.000
Zn 2.718 0.000 1.359
Zn 2.718 0.000 4.076
Zn 4.076 2.718 0.000
```

Calculated values
total magnetic moment: 0.00 μB per cell

Y3Zn2: optimized geometry, PBE. Values from VASP.

```
&SYSTEM
  ibrav = 0, nat = 10, ntyp = 2
/
ATOMIC_SPECIES
Y 88.91 Y.upf
Zn 65.41 Zn.upf
CELL_PARAMETERS angstrom
0.000 7.619 3.108
5.288 0.000 3.108
5.288 7.619 0.000
ATOMIC_POSITIONS angstrom
Y 0.000 0.000 0.000
Y 2.644 3.809 1.554
Y 4.800 6.067 3.139
Y 5.776 9.171 3.139
Y 8.420 9.876 4.693
Y 7.444 12.980 4.693
Zn 5.575 3.086 2.871
Zn 7.645 6.896 4.425
Zn 5.001 12.152 2.871
Zn 2.931 8.342 4.425
```

Calculated values
total magnetic moment: 0.00 μB per cell

Y2Zn: optimized geometry, PBE. Values from VASP.

```
&SYSTEM
  ibrav = 0, nat = 6, ntyp = 2
/
ATOMIC_SPECIES
Y 88.91 Y.upf
Zn 65.41 Zn.upf
CELL_PARAMETERS angstrom
0.000 4.419 4.419
4.419 0.000 4.419
4.419 4.419 0.000
ATOMIC_POSITIONS angstrom
Y 0.000 0.000 0.000
Y 2.209 2.209 0.000
Y 2.209 0.000 2.209
Y 0.000 2.209 2.209
Zn 3.314 3.314 3.314
Zn 5.523 5.523 5.523
```

Calculated values
total magnetic moment: 0.00 μB per cell

Y3Zn: optimized geometry, PBE. Values from VASP.

```
&SYSTEM
  ibrav = 0, nat = 4, ntyp = 2
/
ATOMIC_SPECIES
Y 88.91 Y.upf
Zn 65.41 Zn.upf
CELL_PARAMETERS angstrom
3.586 0.000 0.000
0.000 3.586 0.000
0.000 0.000 8.684
ATOMIC_POSITIONS angstrom
Y 0.000 0.000 0.000
Y 1.793 1.793 2.576
Y 1.793 1.793 6.108
Zn 0.000 0.000 4.342
```

Calculated values
total magnetic moment: 0.00 μB per cell

Y8Zn: optimized geometry, PBE. Values from VASP.

```
&SYSTEM
  ibrav = 0, nat = 9, ntyp = 2
/
ATOMIC_SPECIES
Y 88.91 Y.upf
Zn 65.41 Zn.upf
CELL_PARAMETERS angstrom
-5.271 5.271 2.452
5.271 -5.271 2.452
5.271 5.271 -2.452
ATOMIC_POSITIONS angstrom
Y 3.494 0.000 0.000
Y 7.048 0.000 0.000
Y 0.000 3.494 0.000
Y 3.577 3.577 0.000
Y 1.694 -1.694 2.452
Y -1.694 1.694 2.452
Y 1.694 1.694 2.452
Y 0.000 7.048 0.000
Zn 0.000 0.000 0.000
```

Calculated values
total magnetic moment: 0.00 μB per cell

Per-record theoretical density, Mg/m³: 5.40; 4.94; 5.07; 5.55; 5.30; 5.13; 5.44; 6.08; 4.24; 4.97; 5.22; 5.06; 6.07; 4.71; 5.08; 5.90; 5.27; 4.68; 4.94; 4.73
Per-record final energy, eV per atom: -4.1044; -3.9555; -4.8216; -3.7791; -4.3719; -4.7930; -4.1394; -2.7994; -5.2565; -5.1398; -4.1049; -5.0962; -2.7953; -4.7330; -5.2188; -2.6441; -4.5113; -4.2325; -5.3349; -5.8571